Entry 1:
SrPbAu2 | GGA-PBE | relaxed

Output
**Raw total energy**: -26.07 eV per cell
**Energy of formation from the pure elements**: -0.2721 eV/atom

a b c (Å): 5.2436 5.2436 10.0432
angles (deg): 74.87 74.87 90.00
With the nearest neighbours (Å) after each atom.
Fractional positions:
Pb  0.0000  0.0000  0.0000  4 Au 2.78
Pb  0.7500  0.2500  0.5000  4 Au 2.78
Sr  0.5000  0.5000  0.0000  4 Au 3.26
Sr  0.2500  0.7500  0.5000  4 Au 3.26
Au  0.7287  0.1250  0.2500  2 Pb 2.78, 2 Au 3.04
Au  0.0213  0.6250  0.2500  2 Pb 2.78, 2 Au 3.04
Au  0.3750  0.2713  0.7500  2 Pb 2.78, 2 Au 3.04
Au  0.8750  0.9787  0.7500  2 Pb 2.78, 2 Au 3.04

***

Entry 2:
ScCd2Si | GGA-PBE | relaxed

Output
**Raw total energy**: -27.53 eV per cell

a b c (Å): 4.0103 4.0103 11.1477
angles (deg): 79.64 79.64 90.00
With the nearest neighbours (Å) after each atom.
Fractional positions:
Sc  0.0000  0.0000  0.0000  4 Si 2.84, 4 Cd 3.05
Sc  0.7500  0.2500  0.5000  4 Si 2.84, 4 Cd 3.05
Si  0.5000  0.5000  0.0000  4 Sc 2.84, 4 Cd 3.04
Si  0.2500  0.7500  0.5000  4 Sc 2.84, 4 Cd 3.04
Cd  0.6203  0.1250  0.2500  4 Cd 2.81-2.86, 2 Si 3.04, 2 Sc 3.05
Cd  0.1297  0.6250  0.2500  4 Cd 2.81-2.86, 2 Si 3.04, 2 Sc 3.05
Cd  0.3750  0.3797  0.7500  4 Cd 2.81-2.86, 2 Si 3.04, 2 Sc 3.05
Cd  0.8750  0.8703  0.7500  4 Cd 2.81-2.86, 2 Si 3.04, 2 Sc 3.05

***

Entry 3:
KCoRuS3 | GGA-PBE | relaxed

Output
**Raw total energy**: -67.28 eV per cell

a b c (Å): 3.6014 8.0757 9.0050
angles (deg): 114.92 90.00 90.00
With the nearest neighbours (Å) after each atom.
Fractional positions:
K  0.2500  0.2391  0.2515  7 S 3.15-3.29
K  0.7500  0.7609  0.7485  7 S 3.15-3.29
Co  0.2500  0.0903  0.6042  4 S 2.16-2.23
Co  0.7500  0.9097  0.3958  4 S 2.16-2.23
Ru  0.2500  0.6930  0.1692  6 S 2.34-2.47
Ru  0.7500  0.3070  0.8308  6 S 2.34-2.47
S  0.7500  0.8792  0.1455  1 Co 2.16, 2 Ru 2.41
S  0.2500  0.1208  0.8545  1 Co 2.16, 2 Ru 2.41
S  0.2500  0.7896  0.4539  3 Co 2.21-2.23, 1 Ru 2.34
S  0.7500  0.2104  0.5461  3 Co 2.21-2.23, 1 Ru 2.34
S  0.7500  0.4792  0.1313  3 Ru 2.42-2.47
S  0.2500  0.5208  0.8687  3 Ru 2.42-2.47

***

Entry 4:
LiTbEr2S4 | GGA-PBE | relaxed

Output
**Raw total energy**: -47.63 eV per cell

a b c (Å): 3.8587 6.6984 6.6980
angles (deg): 109.35 90.00 90.00
With the nearest neighbours (Å) after each atom.
Fractional positions:
Li  0.5000  0.5000  0.0000  6 S 2.70-2.72
Tb  0.0000  0.0000  0.0000  6 S 2.75
Er  0.5000  0.0000  0.5000  6 S 2.75-2.77
Er  0.0000  0.5000  0.5000  6 S 2.71
S  0.5000  0.2569  0.2504  1 Li 2.70, 3 Er 2.71-2.77, 2 Tb 2.75
S  0.5000  0.7431  0.7496  1 Li 2.70, 3 Er 2.71-2.77, 2 Tb 2.75
S  0.0000  0.2547  0.7511  3 Er 2.71-2.75, 2 Li 2.72, 1 Tb 2.75
S  0.0000  0.7453  0.2489  3 Er 2.71-2.75, 2 Li 2.72, 1 Tb 2.75

***

- What is the formula in the first record?
  SrPbAu2

***

- What is the raw total energy in the first record?
  -26.07 eV per cell

***

- Look up the raw total energy of the third one.
  -67.28 eV per cell

***

- What is the raw total energy in the first record?
  -26.07 eV per cell